1.
Here is Tb8Nd4Dy after structural relaxation from the Alexandria database. Energies are from GGA-PBE.

Values from the calculation:
Calculated density, g/cm³: 7.0
M_tot, μB/cell: 4.4
ΔE_f, eV per atom: 0.51

Unit cell a=11.0813 b=11.0813 c=13.5427 alpha=90.00 beta=90.00 gamma=120.00
Space group R-3m (No. 166, hexagonal axes)
Symmetry-distinct sites (fractional):
Tb1 0.0000 0.0000 0.2396 x6
Tb2 0.0131 0.5066 0.7463 x18
Nd1 0.0000 0.0000 0.0000 x3
Nd2 0.0000 0.5000 0.0000 x9
Dy1 0.0000 0.0000 0.5000 x3

2.
Here is Ag2RuCl after structural relaxation from the Alexandria database. Energies are from GGA-PBE.

Values from the calculation:
Calculated density, g/cm³: 8.4
Polymorph energy (0 for the lowest one), eV/atom: 0.302
M_tot, μB/cell: 0.8

Unit cell a=2.9556 b=4.6281 c=5.0646 alpha=90.00 beta=90.00 gamma=90.00
Space group Pmmm (No. 47)
Symmetry-distinct sites (fractional):
Ag1 0.0000 0.0000 0.0000 x1
Ag2 0.5000 0.5000 0.0000 x1
Ru1 0.0000 0.5000 0.5000 x1
Cl1 0.5000 0.0000 0.5000 x1

3.
Here is MnAlTc3 after structural relaxation from the Alexandria database. Energies are from GGA-PBE.

Values from the calculation:
Calculated density, g/cm³: 7.5
Polymorph energy (0 for the lowest one), eV/atom: 0.632
M_tot, μB/cell: 0.0
ΔE_f, eV per atom: 1.66

Unit cell a=4.3632 b=4.3632 c=4.3632 alpha=90.00 beta=90.00 gamma=90.00
Space group Pm-3m (No. 221)
Symmetry-distinct sites (fractional):
Mn1 0.0000 0.0000 0.0000 x1
Al1 0.5000 0.5000 0.5000 x1
Tc1 0.0000 0.5000 0.5000 x3

4.
Here is Ag7Au5 after structural relaxation from the Alexandria database. Energies are from GGA-PBE.

Values from the calculation:
Calculated density, g/cm³: 13.3
Polymorph energy (0 for the lowest one), eV/atom: 0.017
M_tot, μB/cell: 0.0
ΔE_f, eV per atom: -0.01

Unit cell a=8.9607 b=4.9406 c=10.2762 alpha=90.00 beta=106.96 gamma=90.00
Space group C2/m (No. 12)
Symmetry-distinct sites (fractional):
Ag1 0.0000 0.0000 0.0000 x2
Ag2 0.0841 0.0000 0.7501 x4
Ag3 0.0848 0.5000 0.2497 x4
Ag4 0.1658 0.0000 0.4989 x4
Au1 0.0000 0.5000 0.5000 x2
Au2 0.1666 0.5000 0.9978 x4
Au3 0.2481 0.5000 0.7473 x4

Question: What is the M_tot in the second record?
Answer: 0.8 μB/cell